(1)
Below is crystalline LiPm2Si4Pt3 at its relaxed geometry, with properties calculated at the PBE-GGA level.

DOS at the Fermi energy: 3.9 states/eV per cell
energy relative to the elements, uncorrected: -1004 meV per atom

a = 4.2244 Å, b = 4.2244 Å, c = 9.9817 Å
α = 90.00°, β = 90.00°, γ = 90.00°
With the nearest neighbours (Å) after each atom.
Space group P-4m2 (No. 115)
Asymmetric unit:
Li (0.0000, 0.0000, 0.0000) [1 per cell]  4 Si 2.50
Pm (0.0000, 0.5000, 0.7495) [2 per cell]  8 Si 3.20-3.27, 6 Pt 3.25-3.27, 2 Li 3.27
Si (0.0000, 0.0000, 0.5000) [1 per cell]  4 Pt 2.43
Si (0.0000, 0.5000, 0.1348) [2 per cell]  3 Pt 2.44-2.50, 2 Li 2.50
Si (0.5000, 0.5000, 0.5000) [1 per cell]  4 Pt 2.43
Pt (0.0000, 0.5000, 0.3792) [2 per cell]  5 Si 2.43-2.44
Pt (0.5000, 0.5000, 0.0000) [1 per cell]  4 Si 2.50

(2)
Below is crystalline AcLaNd3Y at its relaxed geometry, with properties calculated at the PBE-GGA level.

DFT formation energy: 174 meV/atom
DOS at the Fermi energy: 35.5 states/eV per cell

a = 20.8570 Å, b = 5.9497 Å, c = 7.1817 Å
α = 90.00°, β = 91.05°, γ = 90.00°
With the nearest neighbours (Å) after each atom.
Space group C2/m (No. 12)
Asymmetric unit:
Ac (0.1477, 0.0000, 0.0278) [4 per cell]  1 Y 3.28, 4 Nd 3.39-3.65
La (0.0538, 0.5000, 0.2752) [4 per cell]  3 Nd 3.32-3.42
Nd (0.0165, 0.0000, 0.7422) [4 per cell]  1 Y 3.30, 2 La 3.32, 1 Ac 3.39, 1 Nd 3.53
Nd (0.1637, 0.5000, 0.7378) [4 per cell]  2 Y 3.50, 4 Nd 3.61-3.92, 2 Ac 3.65
Nd (0.2175, 0.5000, 0.2634) [4 per cell]  3 Y 3.35-3.70, 1 La 3.42, 3 Ac 3.54-3.71, 1 Nd 3.61
Y (0.1458, 0.0000, 0.4846) [4 per cell]  1 Ac 3.28, 4 Nd 3.30-3.50